Material: RbTe2PbSe
Method: DFT, SCAN
State: single point on PBEsol structure

Values from the calculation:
total DFT energy (no corrections)	-38.23	eV/atom
raw formation energy	-0.06	eV/f.u.
SG	No. 123
N(E_F)	3.54	states/eV/cell

Cell lengths 5.520, 5.520, 5.854 Å; angles 90.00, 90.00, 90.00 degrees
Positions (direct):
Pb (0.500, 0.500, 0.500)
Te (0.000, 0.500, 0.000)
Te (0.500, 0.000, 0.000)
Se (0.000, 0.000, 0.000)
Rb (0.000, 0.000, 0.500)

---

Material: Li3Sn11Pd4
Method: DFT, SCAN
State: single point on PBEsol structure

Values from the calculation:
total DFT energy (no corrections)	-29.98	eV/atom
DFT formation energy	-6.26	eV/f.u.
SG	No. 38
N(E_F)	5.51	states/eV/cell

Cell lengths 6.622, 6.622, 8.402 Å; angles 90.00, 90.00, 91.17 degrees
Positions (direct):
Li (0.499, 0.994, 0.500)
Li (0.994, 0.499, 0.500)
Li (0.324, 0.324, 0.000)
Sn (0.169, 0.169, 0.684)
Sn (0.847, 0.847, 0.680)
Sn (0.653, 0.342, 0.682)
Sn (0.342, 0.653, 0.682)
Sn (0.847, 0.847, 0.320)
Sn (0.169, 0.169, 0.316)
Sn (0.342, 0.653, 0.318)
Sn (0.653, 0.342, 0.318)
Sn (0.652, 0.652, 0.000)
Sn (0.839, 0.168, 0.000)
Sn (0.168, 0.839, 0.000)
Pd (0.505, 0.996, 0.821)
Pd (0.996, 0.505, 0.821)
Pd (0.505, 0.996, 0.179)
Pd (0.996, 0.505, 0.179)